Entry 1:
A plane-wave DFT calculation with PBE-GGA was carried out for a relaxed structure of Al2Cl.

## Properties
V, Å³/cell: 73.5
Density of states at the Fermi level, states/eV/cell: 0.8
Energy relative to the lowest polymorph listed for this composition, eV per atom: 0.160
Spin magnetization, μB per atom: 0.00

a b c (Å): 5.9156 5.9156 5.9156
angles (deg): 148.21 137.28 54.22
Closest atoms and distances in Å follow each position.
Atoms (fractional coordinates):
Al1 0.2238 0.2238 0.0000  1 Cl 2.36
Al2 0.7762 0.7762 0.0000  1 Cl 2.36
Cl1 0.0000 0.0000 0.0000  2 Al 2.36

***

Entry 2:
A plane-wave DFT calculation with PBE-GGA was carried out for a relaxed structure of ThBeP2O8.

## Properties
V, Å³/cell: 138.0
Uncorrected energy, eV per atom: -7.778
Density of states at the Fermi level, states/eV/cell: 0.0
Spin magnetization, μB per atom: 0.00

a b c (Å): 5.0070 5.0070 6.3543
angles (deg): 90.00 90.00 120.00
Closest atoms and distances in Å follow each position.
Atoms (fractional coordinates):
Th1 0.0000 0.0000 0.0000  6 O 2.46
Be1 0.0000 0.0000 0.5000  6 O 1.84
P1 0.3333 0.6667 0.2480  4 O 1.54-1.56
P2 0.6667 0.3333 0.7520  4 O 1.54-1.56
O1 0.1634 0.3267 0.3165  1 P 1.54
O2 0.1634 0.8366 0.3165  1 P 1.54
O3 0.3267 0.1634 0.6835  1 P 1.54
O4 0.3333 0.6667 0.0019  1 P 1.56
O5 0.6667 0.3333 0.9981  1 P 1.56
O6 0.6733 0.8366 0.3165  1 P 1.54
O7 0.8366 0.1634 0.6835  1 P 1.54
O8 0.8366 0.6733 0.6835  1 P 1.54

***

Entry 3:
A plane-wave DFT calculation with PBE-GGA was carried out for a relaxed structure of Ba2ReBAs.

## Properties
ΔH_f (0 K), eV per atom: 1.134
V, Å³/cell: 150.1
Density of states at the Fermi level, states/eV/cell: 5.6
Spin magnetization, μB per atom: 0.48

a b c (Å): 6.2880 6.2880 3.7956
angles (deg): 90.00 90.00 90.00
Closest atoms and distances in Å follow each position.
Atoms (fractional coordinates):
Ba1 0.0000 0.5000 0.0000  2 As 3.14
Ba2 0.5000 0.0000 0.0000  2 As 3.14
Re1 0.0000 0.0000 0.5000  8 Ba 3.67, 2 Re 3.80
B1 0.5000 0.5000 0.5000  2 As 1.90
As1 0.5000 0.5000 0.0000  2 B 1.90